(1)
Below is a geometry-optimized Ba2Tl4Cd structure, with properties calculated at the PBE level.

Computed properties:
The volume comes out at 486 Å³ per cell. The space group is P2_1/m (11). The crystal system is monoclinic. The value obtained for the final energy is -2.335 eV/atom. Its total magnetization is 0.00 μB/cell. As for the energy of formation: -0.303 eV/atom.

Geometry as POSCAR:
```
Ba2Tl4Cd
1.0
6.983 0.000 0.000
0.000 7.130 0.000
-2.578 0.000 9.765
Ba Tl Cd
4 8 2
Direct
0.117 0.250 0.407 Ba
0.280 0.750 0.020 Ba
0.720 0.250 0.980 Ba
0.883 0.750 0.593 Ba
0.246 0.250 0.099 Tl
0.288 0.750 0.403 Tl
0.410 0.523 0.694 Tl
0.410 0.977 0.694 Tl
0.590 0.023 0.306 Tl
0.590 0.477 0.306 Tl
0.712 0.250 0.597 Tl
0.754 0.750 0.901 Tl
0.131 0.250 0.790 Cd
0.869 0.750 0.210 Cd
```

(2)
Below is a geometry-optimized Ba5Tl12Cd2 structure, with properties calculated at the PBE level.

Computed properties:
The volume comes out at 662 Å³ per cell. The space group is C2/m (12). The crystal system is monoclinic. The value obtained for the final energy is -2.325 eV/atom. Its total magnetization is 0.00 μB/cell. As for the energy of formation: -0.228 eV/atom.

Geometry as POSCAR:
```
Ba5Tl12Cd2
1.0
9.679 -4.161 0.000
9.679 4.161 0.000
-1.167 0.000 8.214
Ba Tl Cd
5 12 2
Direct
0.000 0.000 0.000 Ba
0.239 0.239 0.907 Ba
0.312 0.312 0.457 Ba
0.688 0.688 0.543 Ba
0.761 0.761 0.093 Ba
0.035 0.651 0.757 Tl
0.096 0.096 0.558 Tl
0.199 0.586 0.152 Tl
0.349 0.965 0.243 Tl
0.414 0.801 0.848 Tl
0.454 0.454 0.818 Tl
0.546 0.546 0.182 Tl
0.586 0.199 0.152 Tl
0.651 0.035 0.757 Tl
0.801 0.414 0.848 Tl
0.904 0.904 0.442 Tl
0.965 0.349 0.243 Tl
0.304 0.696 0.500 Cd
0.696 0.304 0.500 Cd
```

(3)
Below is a geometry-optimized BaTl4Cd6 structure, with properties calculated at the PBE level.

Computed properties:
The volume comes out at 335 Å³ per cell. The space group is I-42m (121). The crystal system is tetragonal. The value obtained for the final energy is -1.554 eV/atom. Its total magnetization is 0.00 μB/cell. As for the energy of formation: -0.020 eV/atom.

Geometry as POSCAR:
```
BaTl4Cd6
1.0
-3.741 3.741 5.987
3.741 -3.741 5.987
3.741 3.741 -5.987
Ba Tl Cd
1 4 6
Direct
0.000 0.000 0.000 Ba
0.085 0.085 0.556 Tl
0.470 0.915 0.000 Tl
0.530 0.530 0.444 Tl
0.915 0.470 0.000 Tl
0.000 0.500 0.500 Cd
0.256 0.580 0.000 Cd
0.420 0.420 0.676 Cd
0.500 0.000 0.500 Cd
0.580 0.256 0.000 Cd
0.744 0.744 0.324 Cd
```

(4)
Below is a geometry-optimized BaTl5Cd2 structure, with properties calculated at the PBE level.

Computed properties:
The volume comes out at 514 Å³ per cell. The space group is Immm (71). The crystal system is orthorhombic. The value obtained for the final energy is -2.056 eV/atom. Its total magnetization is 0.00 μB/cell. As for the energy of formation: -0.108 eV/atom.

Geometry as POSCAR:
```
BaTl5Cd2
1.0
4.829 0.000 0.000
0.000 8.834 0.000
0.000 0.000 12.039
Ba Tl Cd
2 10 4
Direct
0.000 0.000 0.000 Ba
0.500 0.500 0.500 Ba
0.000 0.193 0.360 Tl
0.000 0.193 0.640 Tl
0.000 0.500 0.000 Tl
0.000 0.807 0.360 Tl
0.000 0.807 0.640 Tl
0.500 0.000 0.500 Tl
0.500 0.307 0.140 Tl
0.500 0.307 0.860 Tl
0.500 0.693 0.140 Tl
0.500 0.693 0.860 Tl
0.000 0.500 0.256 Cd
0.000 0.500 0.744 Cd
0.500 0.000 0.244 Cd
0.500 0.000 0.756 Cd
```

(5)
Below is a geometry-optimized BaTlCd4 structure, with properties calculated at the PBE level.

Computed properties:
The volume comes out at 729 Å³ per cell. The space group is I4/mmm (139). The crystal system is tetragonal. The value obtained for the final energy is -1.436 eV/atom. Its total magnetization is 0.00 μB/cell. As for the energy of formation: -0.111 eV/atom.

Geometry as POSCAR:
```
BaTlCd4
1.0
-6.409 6.409 4.439
6.409 -6.409 4.439
6.409 6.409 -4.439
Ba Tl Cd
4 4 16
Direct
0.215 0.215 0.000 Ba
0.250 0.750 0.500 Ba
0.750 0.250 0.500 Ba
0.785 0.785 0.000 Ba
0.229 0.500 0.729 Tl
0.500 0.229 0.729 Tl
0.500 0.771 0.271 Tl
0.771 0.500 0.271 Tl
0.109 0.273 0.382 Cd
0.109 0.727 0.836 Cd
0.136 0.136 0.643 Cd
0.136 0.493 0.000 Cd
0.273 0.109 0.382 Cd
0.273 0.891 0.164 Cd
0.493 0.136 0.000 Cd
0.493 0.493 0.357 Cd
0.507 0.507 0.643 Cd
0.507 0.864 0.000 Cd
0.727 0.109 0.836 Cd
0.727 0.891 0.618 Cd
0.864 0.507 0.000 Cd
0.864 0.864 0.357 Cd
0.891 0.273 0.164 Cd
0.891 0.727 0.618 Cd
```

(6)
Below is a geometry-optimized Ba2TlCd structure, with properties calculated at the PBE level.

Computed properties:
The volume comes out at 156 Å³ per cell. The space group is P2/m (10). The crystal system is monoclinic. The value obtained for the final energy is -2.150 eV/atom. Its total magnetization is 0.00 μB/cell. As for the energy of formation: -0.368 eV/atom.

Geometry as POSCAR:
```
Ba2TlCd
1.0
4.284 0.000 0.000
0.000 4.272 0.000
-0.009 0.000 8.550
Ba Tl Cd
2 1 1
Direct
0.000 0.000 0.250 Ba
0.000 0.000 0.750 Ba
0.500 0.500 0.000 Tl
0.500 0.500 0.500 Cd
```

(7)
Below is a geometry-optimized Ba3Tl4Cd4 structure, with properties calculated at the PBE level.

Computed properties:
The volume comes out at 366 Å³ per cell. The space group is P-1 (2). The crystal system is triclinic. The value obtained for the final energy is -2.015 eV/atom. Its total magnetization is 0.00 μB/cell. As for the energy of formation: -0.297 eV/atom.

Geometry as POSCAR:
```
Ba3Tl4Cd4
1.0
4.396 0.000 0.000
0.002 5.230 0.000
2.182 2.508 15.941
Ba Tl Cd
3 4 4
Direct
0.000 0.000 0.000 Ba
0.148 0.643 0.703 Ba
0.852 0.357 0.297 Ba
0.309 0.820 0.380 Tl
0.457 0.452 0.100 Tl
0.543 0.548 0.900 Tl
0.691 0.180 0.620 Tl
0.256 0.265 0.488 Cd
0.407 0.908 0.191 Cd
0.593 0.092 0.809 Cd
0.744 0.735 0.512 Cd
```

(8)
Below is a geometry-optimized Ba3TlCd structure, with properties calculated at the PBE level.

Computed properties:
The volume comes out at 931 Å³ per cell. The space group is C2/c (15). The crystal system is monoclinic. The value obtained for the final energy is -2.025 eV/atom. Its total magnetization is 0.00 μB/cell. As for the energy of formation: -0.216 eV/atom.

Geometry as POSCAR:
```
Ba3TlCd
1.0
9.357 -6.071 0.000
9.357 6.071 0.000
-1.523 0.000 8.197
Ba Tl Cd
12 4 4
Direct
0.036 0.291 0.015 Ba
0.108 0.730 0.524 Ba
0.270 0.892 0.976 Ba
0.291 0.036 0.515 Ba
0.368 0.390 0.934 Ba
0.390 0.368 0.434 Ba
0.610 0.632 0.566 Ba
0.632 0.610 0.066 Ba
0.709 0.964 0.485 Ba
0.730 0.108 0.024 Ba
0.892 0.270 0.476 Ba
0.964 0.709 0.985 Ba
0.036 0.964 0.250 Tl
0.333 0.667 0.250 Tl
0.667 0.333 0.750 Tl
0.964 0.036 0.750 Tl
0.086 0.444 0.650 Cd
0.444 0.086 0.150 Cd
0.556 0.914 0.850 Cd
0.914 0.556 0.350 Cd
```

(9)
Below is a geometry-optimized Ba2TlCd structure, with properties calculated at the PBE level.

Computed properties:
The volume comes out at 583 Å³ per cell. The space group is F-43m (216). The crystal system is cubic. The value obtained for the final energy is -1.943 eV/atom. Its total magnetization is 0.00 μB/cell. As for the energy of formation: -0.161 eV/atom.

Geometry as POSCAR:
```
Ba2TlCd
1.0
8.356 0.000 0.000
0.000 8.356 0.000
0.000 0.000 8.356
Ba Tl Cd
8 4 4
Direct
0.000 0.000 0.000 Ba
0.000 0.500 0.500 Ba
0.250 0.250 0.250 Ba
0.250 0.750 0.750 Ba
0.500 0.000 0.500 Ba
0.500 0.500 0.000 Ba
0.750 0.250 0.750 Ba
0.750 0.750 0.250 Ba
0.250 0.250 0.750 Tl
0.250 0.750 0.250 Tl
0.750 0.250 0.250 Tl
0.750 0.750 0.750 Tl
0.000 0.000 0.500 Cd
0.000 0.500 0.000 Cd
0.500 0.000 0.000 Cd
0.500 0.500 0.500 Cd
```

(10)
Below is a geometry-optimized BaTl7Cd5 structure, with properties calculated at the PBE level.

Computed properties:
The volume comes out at 378 Å³ per cell. The space group is Imm2 (44). The crystal system is orthorhombic. The value obtained for the final energy is -1.860 eV/atom. Its total magnetization is 0.00 μB/cell. As for the energy of formation: -0.086 eV/atom.

Geometry as POSCAR:
```
BaTl7Cd5
1.0
-3.034 5.427 5.736
3.034 -5.427 5.736
3.034 5.427 -5.736
Ba Tl Cd
1 7 5
Direct
0.000 0.000 0.000 Ba
0.203 0.501 0.702 Tl
0.220 0.720 0.500 Tl
0.354 0.002 0.352 Tl
0.358 0.358 0.000 Tl
0.647 0.647 0.000 Tl
0.650 0.002 0.648 Tl
0.799 0.501 0.298 Tl
0.510 0.004 0.007 Cd
0.510 0.503 0.506 Cd
0.782 0.282 0.500 Cd
0.997 0.004 0.494 Cd
0.997 0.503 0.993 Cd
```

(11)
Below is a geometry-optimized Ba2Tl5Cd4 structure, with properties calculated at the PBE level.

Computed properties:
The volume comes out at 360 Å³ per cell. The space group is Fmmm (69). The crystal system is orthorhombic. The value obtained for the final energy is -1.914 eV/atom. Its total magnetization is 0.00 μB/cell. As for the energy of formation: -0.156 eV/atom.

Geometry as POSCAR:
```
Ba2Tl5Cd4
1.0
0.000 5.683 8.898
3.562 0.000 8.898
3.562 5.683 0.000
Ba Tl Cd
2 5 4
Direct
0.140 0.140 0.860 Ba
0.860 0.860 0.140 Ba
0.000 0.000 0.500 Tl
0.250 0.250 0.250 Tl
0.500 0.500 0.000 Tl
0.500 0.500 0.500 Tl
0.750 0.750 0.750 Tl
0.225 0.482 0.518 Cd
0.482 0.225 0.775 Cd
0.518 0.775 0.225 Cd
0.775 0.518 0.482 Cd
```

(12)
Below is a geometry-optimized Ba2TlVCd structure, with properties calculated at the PBE level.

Computed properties:
The volume comes out at 209 Å³ per cell. The space group is P4/mmm (123). The crystal system is tetragonal. The value obtained for the final energy is -2.814 eV/atom. Its total magnetization is 3.86 μB/cell. As for the energy of formation: 0.435 eV/atom.

Geometry as POSCAR:
```
Ba2TlVCd
1.0
6.269 0.000 0.000
0.000 6.269 0.000
0.000 0.000 5.329
Ba Tl V Cd
2 1 1 1
Direct
0.000 0.500 0.000 Ba
0.500 0.000 0.000 Ba
0.000 0.000 0.500 Tl
0.500 0.500 0.000 V
0.500 0.500 0.500 Cd
```